## K3YTc2O9 (PBE)

Data for a relaxed structure of K3YTc2O9.

Results
The calculation puts the raw total energy at -6.895 eV/atom. The value obtained for the mass density is 4.4 g/cm3. The formation energy without anion corrections is -1.89 eV/atom.

Cell and atoms, written as POSCAR:
```
K3YTc2O9
1.0
5.759 0.000 0.000
-2.880 4.988 0.000
0.000 0.000 7.139
K Y Tc O
3 1 2 9
Direct
0.333 0.667 0.673
0.000 0.000 0.000
0.667 0.333 0.327
0.000 0.000 0.500
0.333 0.667 0.160
0.667 0.333 0.840
0.821 0.179 0.690
0.821 0.643 0.690
0.357 0.179 0.690
0.643 0.821 0.310
0.179 0.357 0.310
0.179 0.821 0.310
0.500 0.000 0.000
0.000 0.500 0.000
0.500 0.500 0.000
```

---

## KYTc2O8 (PBE)

Data for a relaxed structure of KYTc2O8.

Results
The calculation puts the raw total energy at -7.579 eV/atom. The value obtained for the mass density is 3.2 g/cm3. The formation energy without anion corrections is -1.92 eV/atom.

Cell and atoms, written as POSCAR:
```
KYTc2O8
1.0
5.985 0.000 0.000
-2.993 5.183 0.000
0.000 0.000 7.628
K Y Tc O
1 1 2 8
Direct
0.000 0.000 0.000
0.000 0.000 0.500
0.667 0.333 0.236
0.333 0.667 0.764
0.333 0.667 0.993
0.340 0.172 0.316
0.828 0.168 0.316
0.667 0.333 0.007
0.172 0.832 0.684
0.660 0.828 0.684
0.168 0.340 0.684
0.832 0.660 0.316
```

---

## K2Y2TcO6 (PBE)

Data for a relaxed structure of K2Y2TcO6.

Results
The calculation puts the raw total energy at -7.383 eV/atom. The value obtained for the mass density is 4.0 g/cm3. The formation energy without anion corrections is -2.36 eV/atom.

Cell and atoms, written as POSCAR:
```
K2Y2TcO6
1.0
5.781 0.003 0.097
-2.855 5.028 0.097
-0.997 -1.714 6.288
K Y Tc O
2 2 1 6
Direct
0.839 0.161 0.000
0.161 0.839 0.000
0.335 0.665 0.500
0.665 0.335 0.500
0.000 0.000 0.500
0.751 0.751 0.674
0.049 0.361 0.673
0.249 0.249 0.326
0.361 0.049 0.673
0.951 0.639 0.327
0.639 0.951 0.327
```

---

## K3ZnTc2O8 (PBE)

Data for a relaxed structure of K3ZnTc2O8.

Results
The calculation puts the raw total energy at -6.138 eV/atom. The value obtained for the mass density is 3.7 g/cm3. The formation energy without anion corrections is -1.50 eV/atom.

Cell and atoms, written as POSCAR:
```
K3ZnTc2O8
1.0
5.855 0.000 0.000
-2.928 5.071 0.000
0.000 0.000 7.655
K Zn Tc O
3 1 2 8
Direct
0.333 0.667 0.661
0.667 0.333 0.339
0.000 0.000 0.000
0.000 0.000 0.500
0.333 0.667 0.233
0.667 0.333 0.767
0.333 0.667 0.002
0.667 0.333 0.998
0.167 0.833 0.327
0.833 0.167 0.673
0.167 0.333 0.327
0.833 0.667 0.673
0.667 0.833 0.327
0.333 0.167 0.673
```

---

## KZn2TcO (PBE)

Data for a relaxed structure of KZn2TcO.

Results
The calculation puts the raw total energy at -1.795 eV/atom. The value obtained for the mass density is 1.7 g/cm3. The formation energy without anion corrections is 2.00 eV/atom.

Cell and atoms, written as POSCAR:
```
KZn2TcO
1.0
-0.368 -5.768 -2.957
6.686 -0.172 -0.495
0.350 -2.975 5.760
K Zn Tc O
1 2 1 1
Direct
0.000 0.000 0.000
0.000 0.000 0.500
0.500 0.000 0.000
0.000 0.500 0.000
0.500 0.500 0.500
```

---

## K2ZrTc3O12 (PBE)

Data for a relaxed structure of K2ZrTc3O12.

Results
The calculation puts the raw total energy at -7.350 eV/atom. The value obtained for the mass density is 3.8 g/cm3. The formation energy without anion corrections is -1.72 eV/atom.

Cell and atoms, written as POSCAR:
```
K2ZrTc3O12
1.0
7.440 0.098 0.069
3.759 6.421 0.069
3.759 2.188 6.037
K Zr Tc O
2 1 3 12
Direct
0.622 0.622 0.622
0.378 0.378 0.378
0.000 0.000 0.000
0.500 0.000 0.000
0.000 0.500 0.000
0.000 0.000 0.500
0.306 0.306 0.931
0.930 0.930 0.337
0.337 0.930 0.930
0.931 0.306 0.306
0.930 0.337 0.930
0.306 0.931 0.306
0.694 0.694 0.069
0.070 0.070 0.663
0.663 0.070 0.070
0.069 0.694 0.694
0.070 0.663 0.070
0.694 0.069 0.694
```

---

## KZr2TcO8 (PBE)

Data for a relaxed structure of KZr2TcO8.

Results
The calculation puts the raw total energy at -7.857 eV/atom. The value obtained for the mass density is 4.5 g/cm3. The formation energy without anion corrections is -2.17 eV/atom.

Cell and atoms, written as POSCAR:
```
KZr2TcO8
1.0
-2.182 4.204 -1.517
-2.626 -2.289 -3.474
-5.041 -1.002 4.470
K Zr Tc O
1 2 1 8
Direct
0.000 0.000 0.500
0.500 0.500 0.737
0.500 0.500 0.263
0.000 0.000 0.000
0.197 0.795 0.191
0.724 0.730 0.000
0.804 0.205 0.191
0.803 0.205 0.809
0.276 0.270 0.000
0.196 0.795 0.809
0.660 0.680 0.500
0.340 0.320 0.500
```

---

## K2TeO4 (PBE)

Data for a relaxed structure of K2TeO4.

Results
The calculation puts the raw total energy at -5.002 eV/atom. The value obtained for the mass density is 3.0 g/cm3. The formation energy without anion corrections is -1.41 eV/atom.

Cell and atoms, written as POSCAR:
```
K2TeO4
1.0
8.208 0.000 0.000
0.000 6.346 0.066
0.000 5.402 11.348
K Te O
8 4 16
Direct
0.235 0.801 0.913
0.502 0.502 0.752
0.265 0.801 0.413
0.002 0.498 0.748
0.998 0.502 0.252
0.735 0.199 0.587
0.498 0.498 0.248
0.765 0.199 0.087
0.741 0.852 0.925
0.759 0.852 0.425
0.241 0.148 0.575
0.259 0.148 0.075
0.917 0.724 0.883
0.554 0.759 0.877
0.756 0.745 0.588
0.254 0.824 0.643
0.583 0.724 0.383
0.946 0.759 0.377
0.754 0.176 0.857
0.256 0.255 0.912
0.744 0.745 0.088
0.246 0.824 0.143
0.054 0.241 0.623
0.417 0.276 0.617
0.746 0.176 0.357
0.244 0.255 0.412
0.446 0.241 0.123
0.083 0.276 0.117
```

---

Which value of mass density does entry 7 give? 4.5 g/cm3